Nd PBE relaxed; ΔE to the lowest computed polymorph = 0.161 eV/atom; E_form = 0.161 eV per atom; crystal system = cubic
1.0
6.336 6.336 -6.336
6.336 -6.336 6.336
-6.336 -6.336 -6.336
Nd
29
direct
0.733 0.416 0.416
0.376 0.188 0.376
0.188 0.188 0.812
0.363 0.000 0.000
0.416 0.733 0.416
0.000 0.000 0.000
0.000 0.812 0.624
0.812 0.000 0.624
0.416 0.416 0.733
0.188 0.812 0.188
0.316 0.000 0.584
0.188 0.376 0.376
0.812 0.624 0.000
0.684 0.267 0.684
0.000 0.000 0.363
0.000 0.316 0.584
0.376 0.376 0.188
0.584 0.316 0.000
0.624 0.812 0.000
0.624 0.000 0.812
0.812 0.188 0.188
0.684 0.684 0.267
0.267 0.684 0.684
0.584 0.000 0.316
0.637 0.637 0.637
0.000 0.624 0.812
0.000 0.584 0.316
0.316 0.584 0.000
0.000 0.363 0.000

Nd PBE relaxed; ΔE to the lowest computed polymorph = 0.731 eV/atom; E_form = 0.731 eV per atom; crystal system = hexagonal
1.0
5.654 0.000 0.000
-2.827 4.897 0.000
0.000 0.000 5.627
Nd
4
direct
0.000 0.000 0.250
0.333 0.667 0.250
0.000 0.000 0.750
0.667 0.333 0.750

Nd2Ni3 PBE relaxed; E_form = 0.110 eV per atom; crystal system = trigonal
1.0
3.560 5.433 -0.901
-5.652 -0.790 -3.230
0.234 4.652 5.110
Ni Nd
6 4
direct
0.750 0.043 0.750
0.250 0.957 0.250
0.457 0.750 0.250
0.957 0.457 0.750
0.543 0.250 0.750
0.043 0.543 0.250
0.395 0.605 0.814
0.105 0.895 0.686
0.605 0.395 0.186
0.895 0.105 0.314

| no. | uncorrected energy (eV/atom) |
| --- | --- |
| 1 | -4.60 |
| 2 | -4.03 |
| 3 | -5.14 |